Compound: Er5Cd4Pd
Source: the Alexandria database
Functional: PBE-GGA
Structure: optimized geometry

Calculated values
As for the energy of formation from the pure elements: -419 kJ/mol of formula units. As for the crystal system: tetragonal. As for the symmetry: P4/mmm (123). The density of states at the Fermi level is 0.799 states/eV/atom.

Cell lengths 3.648, 3.648, 18.462 Å; angles 90.00, 90.00, 90.00 degrees
Positions (direct):
Er1 0.000 0.000 0.000
Er2 0.000 0.000 0.206
Er3 0.000 0.000 0.412
Er4 0.000 0.000 0.588
Er5 0.000 0.000 0.794
Cd1 0.500 0.500 0.103
Cd2 0.500 0.500 0.306
Cd3 0.500 0.500 0.694
Cd4 0.500 0.500 0.897
Pd1 0.500 0.500 0.500


Compound: K2HfI4F2
Source: the Alexandria database
Functional: PBE-GGA
Structure: optimized geometry

Calculated values
The uncorrected formation energy is -1894 meV per atom. As for the crystal system: monoclinic. As for the symmetry: C2/m (12). The density of states at the Fermi level is 0.000 states/eV/atom.

Cell lengths 7.610, 7.610, 6.270 Å; angles 101.86, 101.86, 66.69 degrees
Positions (direct):
K1 0.196 0.196 0.355
K2 0.804 0.804 0.645
Hf1 0.500 0.500 0.000
I1 0.150 0.651 0.197
I2 0.349 0.850 0.803
I3 0.651 0.150 0.197
I4 0.850 0.349 0.803
F1 0.373 0.373 0.744
F2 0.627 0.627 0.256


Compound: TaAl2Sb
Source: the Alexandria database
Functional: PBE-GGA
Structure: optimized geometry

Calculated values
The uncorrected formation energy is 156 meV per atom. As for the crystal system: orthorhombic. As for the symmetry: Cmmm (65). The density of states at the Fermi level is 0.739 states/eV/atom.

Cell lengths 5.208, 5.208, 2.971 Å; angles 90.00, 90.00, 111.91 degrees
Positions (direct):
Ta1 0.000 0.000 0.000
Al1 0.000 0.500 0.500
Al2 0.500 0.000 0.500
Sb1 0.500 0.500 0.000


Compound: AcTb2Cu
Source: the Alexandria database
Functional: PBE-GGA
Structure: optimized geometry

Calculated values
As for the energy of formation from the pure elements: -22 kJ/mol of formula units. For the energy above the most stable polymorph in this dataset, the calculation gives 0 meV per atom. As for the crystal system: tetragonal. As for the symmetry: P4/mmm (123). The density of states at the Fermi level is 0.947 states/eV/atom.

Cell lengths 3.618, 3.618, 8.971 Å; angles 90.00, 90.00, 90.00 degrees
Positions (direct):
Ac1 0.000 0.000 0.000
Tb1 0.500 0.500 0.317
Tb2 0.500 0.500 0.683
Cu1 0.000 0.000 0.500